# 1
Material: MgZnNiSe3
Method: DFT, GGA-PBE
State: optimized geometry

Cell and atoms, written as CIF:
```
data_MgZnNiSe3
_chemical_formula_sum 'Mg4 Zn4 Ni4 Se12'
_space_group_name_H-M_alt 'C m c m'
_space_group_IT_number 63
_space_group_name_Hall '-C 2c 2'
_cell_length_a 3.679
_cell_length_b 12.930
_cell_length_c 9.620
_cell_angle_alpha 90.00
_cell_angle_beta 90.00
_cell_angle_gamma 90.00
loop_
_atom_site_label
_atom_site_type_symbol
_atom_site_fract_x
_atom_site_fract_y
_atom_site_fract_z
Mg1 Mg 0.000 0.230 0.250
Zn1 Zn 0.000 0.000 0.000
Ni1 Ni 0.000 0.480 0.750
Se1 Se 0.000 0.094 0.750
Se2 Se 0.000 0.356 0.569
```

Calculated values
Magnetization in μB/cell: 3.45
Energy above the most stable polymorph in this dataset in eV per atom: 0.0193



# 2
Material: MgCuBOs
Method: DFT, GGA-PBE
State: optimized geometry

Cell and atoms, written as CIF:
```
data_MgCuBOs
_chemical_formula_sum 'Mg4 Cu4 B4 Os4'
_space_group_name_H-M_alt 'F -4 3 m'
_space_group_IT_number 216
_space_group_name_Hall 'F -4 2 3'
_cell_length_a 5.763
_cell_length_b 5.763
_cell_length_c 5.763
_cell_angle_alpha 90.00
_cell_angle_beta 90.00
_cell_angle_gamma 90.00
loop_
_atom_site_label
_atom_site_type_symbol
_atom_site_fract_x
_atom_site_fract_y
_atom_site_fract_z
Mg1 Mg 0.000 0.000 0.000
Cu1 Cu 0.250 0.250 0.750
B1 B 0.000 0.000 0.500
Os1 Os 0.250 0.250 0.250
```

Calculated values
Magnetization in μB/cell: 0.00
Energy above the most stable polymorph in this dataset in eV per atom: 0.0000



# 3
Material: SmMgZn
Method: DFT, GGA-PBE
State: optimized geometry

Cell and atoms, written as CIF:
```
data_SmMgZn
_chemical_formula_sum 'Sm4 Mg4 Zn4'
_space_group_name_H-M_alt 'F -4 3 m'
_space_group_IT_number 216
_space_group_name_Hall 'F -4 2 3'
_cell_length_a 6.990
_cell_length_b 6.990
_cell_length_c 6.990
_cell_angle_alpha 90.00
_cell_angle_beta 90.00
_cell_angle_gamma 90.00
loop_
_atom_site_label
_atom_site_type_symbol
_atom_site_fract_x
_atom_site_fract_y
_atom_site_fract_z
Sm1 Sm 0.000 0.000 0.000
Mg1 Mg 0.250 0.250 0.750
Zn1 Zn 0.250 0.250 0.250
```

Calculated values
Magnetization in μB/cell: 0.00
VASP energy in eV/atom: -2.14



# 4
Material: Ho2Ge5Os3
Method: DFT, GGA-PBE
State: optimized geometry

Cell and atoms, written as CIF:
```
data_Ho2Ge5Os3
_chemical_formula_sum 'Ho8 Ge20 Os12'
_space_group_name_H-M_alt 'I b a m'
_space_group_IT_number 72
_space_group_name_Hall '-I 2 2c'
_cell_length_a 9.892
_cell_length_b 12.472
_cell_length_c 5.815
_cell_angle_alpha 90.00
_cell_angle_beta 90.00
_cell_angle_gamma 90.00
loop_
_atom_site_label
_atom_site_type_symbol
_atom_site_fract_x
_atom_site_fract_y
_atom_site_fract_z
Ho1 Ho 0.230 0.143 0.000
Ge1 Ge 0.000 0.000 0.250
Ge2 Ge 0.000 0.293 0.250
Ge3 Ge 0.176 0.415 0.000
Os1 Os 0.000 0.500 0.250
Os2 Os 0.095 0.149 0.500
```

Calculated values
Magnetization in μB/cell: 0.01
VASP energy in eV/atom: -7.03